(1)
Entry from Alexandria via LeMat-Bulk: MnTcBr2 after structural relaxation (PBE-GGA).

## Properties
Uncorrected formation energy: 690.6 meV/atom
V: 21.04 Å³/atom
Energy above the most stable polymorph in this dataset: 2.43 eV/f.u.
Crystal system: monoclinic
Space-group type: C2/m (12)

a = 5.781 Å, b = 5.528 Å, c = 3.406 Å
α = 69.20°, β = 95.17°, γ = 123.41°
Last column: magnetic moment on the atom in μB.
Element x y z (fractional)
Br  0.000  0.000  0.000  0.07
Br  0.500  0.000  0.500  0.07
Mn  0.000  0.500  0.500  4.06
Tc  0.500  0.500  0.000  2.23

---

(2)
Entry from Alexandria via LeMat-Bulk: SbRh2Pb after structural relaxation (PBE-GGA).

## Properties
Uncorrected formation energy: -19.4 meV/atom
V: 18.58 Å³/atom
Energy above the most stable polymorph in this dataset: 1.23 eV/f.u.
Crystal system: cubic
Space-group type: Fm-3m (225)

a = 4.719 Å, b = 4.719 Å, c = 4.719 Å
α = 60.00°, β = 60.00°, γ = 60.00°
Element x y z (fractional)
Pb  0.500  0.500  0.500
Sb  0.000  0.000  0.000
Rh  0.250  0.250  0.250
Rh  0.750  0.750  0.750

---

(3)
Entry from Alexandria via LeMat-Bulk: PbSeBr6 after structural relaxation (PBE-GGA).

## Properties
Uncorrected formation energy: -351.0 meV/atom
V: 33.57 Å³/atom
Crystal system: trigonal
Space-group type: R-3 (148)

a = 6.957 Å, b = 6.958 Å, c = 7.561 Å
α = 62.61°, β = 62.61°, γ = 60.00°
Element x y z (fractional)
Pb  0.500  0.500  0.500
Se  0.000  0.000  0.000
Br  0.051  0.399  0.768
Br  0.782  0.051  0.768
Br  0.601  0.218  0.233
Br  0.218  0.949  0.232
Br  0.949  0.601  0.232
Br  0.399  0.782  0.767

---

(4)
Entry from Alexandria via LeMat-Bulk: V2CuAgPt after structural relaxation (PBE-GGA).

## Properties
V: 20.98 Å³/atom
Calculated formation energy: 1822 meV/atom
Crystal system: tetragonal
Space-group type: P4/mmm (123)

a = 4.634 Å, b = 4.885 Å, c = 4.634 Å
α = 90.00°, β = 90.00°, γ = 90.00°
Element x y z (fractional)
Cu  0.500  0.500  0.500
Ag  0.000  0.000  0.000
Pt  0.000  0.500  0.000
V  0.000  0.000  0.500
V  0.500  0.000  0.000

---

| no. | raw total energy (eV for the cell shown) |
| --- | --- |
| 1 | -20.1 |
| 2 | -22.6 |
| 3 | -20.0 |
| 4 | -22.1 |